Entry 1:
Compound: TlTc2Au
Source: Alexandria via LeMat-Bulk
Functional: PBE
Structure: optimized geometry

Lattice parameters (Å, degrees): 7.5897 7.5897 5.3760 90.00 90.00 90.00
Last column: nearest neighbours and their distance in Å.
Space group I-42d (No. 122)
One atom of each set of equivalent atoms:
Tl  0.0000  0.0000  0.0000 (multiplicity 4)  2 Au 2.69, 4 Tc 2.81
Tc  0.2411  0.2500  0.6250 (multiplicity 8)  2 Tc 2.69, 2 Au 2.72, 2 Tl 2.81
Au  0.0000  0.0000  0.5000 (multiplicity 4)  2 Tl 2.69, 4 Tc 2.72

The calculation puts the energy of formation at 1.08 eV per atom. Its energy above the most stable polymorph in this dataset is 3.21 eV/f.u.

***

Entry 2:
Compound: LiHN
Source: Alexandria via LeMat-Bulk
Functional: PBE
Structure: optimized geometry

Lattice parameters (Å, degrees): 3.3167 3.3370 4.6531 107.15 100.14 108.02
Last column: nearest neighbours and their distance in Å.
Space group P1 (No. 1)
One atom of each set of equivalent atoms:
Li  0.0000  0.0000  0.0000 (multiplicity 1)  2 H 1.95-2.05, 3 N 2.06-2.13
Li  0.2424  0.5929  0.5135 (multiplicity 1)  4 H 2.06-2.29, 3 N 2.06-2.19
H  0.6892  0.7587  0.2694 (multiplicity 1)  1 N 1.04
H  0.7161  0.2641  0.7141 (multiplicity 1)  1 N 1.04
N  0.4691  0.3099  0.8133 (multiplicity 1)  1 H 1.04
N  0.6588  0.4258  0.1654 (multiplicity 1)  1 H 1.04

Its energy above the most stable polymorph in this dataset is 0.23 eV/f.u.

***

Entry 3:
Compound: BaSr3Sn
Source: Alexandria via LeMat-Bulk
Functional: PBE
Structure: optimized geometry

Lattice parameters (Å, degrees): 6.2620 6.2620 6.2620 90.00 90.00 90.00
Last column: nearest neighbours and their distance in Å.
Space group Pm-3m (No. 221)
One atom of each set of equivalent atoms:
Ba  0.0000  0.0000  0.0000 (multiplicity 1)  6 Sr 3.13
Sr  0.0000  0.0000  0.5000 (multiplicity 3)  2 Ba 3.13
Sn  0.5000  0.5000  0.5000 (multiplicity 1)  12 Sr 4.43

The calculation puts the energy of formation at 0.82 eV per atom. Its energy above the most stable polymorph in this dataset is 5.05 eV/f.u.

***

Entry 4:
Compound: RbLi2Pd
Source: Alexandria via LeMat-Bulk
Functional: PBE
Structure: optimized geometry

Lattice parameters (Å, degrees): 5.8020 5.8020 15.7160 90.00 90.00 90.00
Last column: nearest neighbours and their distance in Å.
Space group I4_1/amd (No. 141, origin choice 2)
One atom of each set of equivalent atoms:
Rb  0.0000  0.2500  0.3750 (multiplicity 4)  8 Li 3.79, 4 Pd 4.10
Li  0.0000  0.0000  0.0000 (multiplicity 8)  2 Pd 2.44
Pd  0.0000  0.2500  0.8750 (multiplicity 4)  4 Li 2.44

The calculation puts the energy of formation at 0.09 eV per atom.

***

Entry 5:
Compound: KAg2P
Source: Alexandria via LeMat-Bulk
Functional: PBE
Structure: optimized geometry

Lattice parameters (Å, degrees): 5.7090 5.7090 15.3835 90.00 90.00 90.00
Last column: nearest neighbours and their distance in Å.
Space group I4_1/amd (No. 141, origin choice 2)
One atom of each set of equivalent atoms:
K  0.0000  0.2500  0.3750 (multiplicity 4)  8 Ag 3.73, 4 P 4.04
Ag  0.0000  0.0000  0.0000 (multiplicity 8)  2 P 2.39
P  0.0000  0.2500  0.8750 (multiplicity 4)  4 Ag 2.39

The calculation puts the energy of formation at -0.13 eV per atom.

***

Entry 6:
Compound: Al8W
Source: Alexandria via LeMat-Bulk
Functional: PBE
Structure: optimized geometry

Lattice parameters (Å, degrees): 8.8401 8.8401 3.6911 90.00 90.00 90.00
Last column: nearest neighbours and their distance in Å.
Space group I4/mmm (No. 139)
One atom of each set of equivalent atoms:
Al  0.0000  0.3254  0.0000 (multiplicity 8)  10 Al 2.75-3.00, 1 W 2.88
Al  0.1611  0.1611  0.5000 (multiplicity 8)  2 W 2.73, 10 Al 2.75-3.00
W  0.0000  0.0000  0.0000 (multiplicity 2)  12 Al 2.73-2.88

The calculation puts the energy of formation at 0.00 eV per atom.

***

no.,spin magnetization (μB/atom)
1,0.6254
2,0.0000
3,0.4014
4,0.0000
5,0.0000
6,0.0000